(1)
# CdCoCl3 PBE-GGA optimized geometry
data_CdCoCl3
_chemical_formula_sum 'Cd1 Co1 Cl3'
_space_group_name_H-M_alt 'P 1'
_space_group_IT_number 1
_space_group_name_Hall 'P 1'
_cell_length_a 4.7431
_cell_length_b 4.7431
_cell_length_c 4.7431
_cell_angle_alpha 90.00
_cell_angle_beta 90.00
_cell_angle_gamma 90.00
loop_
_atom_site_label
_atom_site_type_symbol
_atom_site_fract_x
_atom_site_fract_y
_atom_site_fract_z
Cd1 Cd 0.0000 0.0000 0.0000
Co1 Co 0.5000 0.5000 0.5000
Cl1 Cl 0.0000 0.5000 0.5000
Cl2 Cl 0.5000 0.0000 0.5000
Cl3 Cl 0.5000 0.5000 0.0000
# Space group: Pm-3m

---

(2)
# Cd2CoCl PBE-GGA optimized geometry
data_Cd2CoCl
_chemical_formula_sum 'Cd6 Co3 Cl3'
_space_group_name_H-M_alt 'P 1'
_space_group_IT_number 1
_space_group_name_Hall 'P 1'
_cell_length_a 3.2970
_cell_length_b 3.2970
_cell_length_c 24.7823
_cell_angle_alpha 90.00
_cell_angle_beta 90.00
_cell_angle_gamma 120.00
loop_
_atom_site_label
_atom_site_type_symbol
_atom_site_fract_x
_atom_site_fract_y
_atom_site_fract_z
Cd1 Cd 0.0000 0.0000 0.2444
Cd2 Cd 0.0000 0.0000 0.7556
Cd3 Cd 0.3333 0.6667 0.4223
Cd4 Cd 0.3333 0.6667 0.9110
Cd5 Cd 0.6667 0.3333 0.0890
Cd6 Cd 0.6667 0.3333 0.5777
Co1 Co 0.0000 0.0000 0.5000
Co2 Co 0.3333 0.6667 0.1667
Co3 Co 0.6667 0.3333 0.8333
Cl1 Cl 0.0000 0.0000 0.0000
Cl2 Cl 0.3333 0.6667 0.6667
Cl3 Cl 0.6667 0.3333 0.3333
# Space group: R-3m

---

| no. | uncorrected formation energy (eV/atom) | V (Å³ per cell) | magnetization (μB per atom) |
| --- | --- | --- | --- |
| 1 | -0.350 | 107 | 0.40 |
| 2 | 0.062 | 233 | 0.37 |